No. 1
A plane-wave DFT calculation with PBE was carried out for crystalline RbNa12Tl6 at its relaxed geometry.

Structure (extended XYZ):
```
19
Lattice="8.5620 -0.1742 0.2097 0.2003 8.5614 0.2097 -0.1820 -0.1742 8.5626" Properties=species:S:1:pos:R:3 pbc="T T T"
Na 3.9834 1.5148 5.0730
Na 5.1734 6.8496 8.7894
Na 8.4570 4.8690 7.4637
Tl 6.1809 2.3230 7.7925
Na 6.8534 3.3985 4.7709
Tl 5.9316 0.8201 2.4514
Na 4.5970 6.6982 3.9091
Tl 2.6488 7.3930 6.5307
Rb 0.0000 0.0000 0.0000
Na 7.2166 8.2361 5.5699
Tl 2.3995 5.8900 1.1896
Na 1.3638 -0.0230 3.4122
Na 0.1234 3.3441 1.5184
Na 3.4070 1.3635 0.1926
Tl 7.6658 6.0734 2.9446
Na 3.5899 4.2997 7.0643
Tl 0.9145 2.1397 6.0374
Na 1.7270 4.8146 4.2112
Na 4.9905 3.9134 1.9177
```

Computed properties:
As for the total energy: -1.666 eV per atom. For the total magnetic moment, the calculation gives 0.0 μB/cell. The value obtained for the energy above the most stable polymorph in this dataset is 0 meV/atom. The calculation puts the formation enthalpy at 0 K at -0.03 eV per atom. Its space group is R-3 (148).

No. 2
A plane-wave DFT calculation with PBE was carried out for crystalline Ba2AgRu at its relaxed geometry.

Structure (extended XYZ):
```
4
Lattice="4.5166 -0.0096 -0.0082 2.9569 3.4141 -0.0082 1.4475 0.6594 8.7739" Properties=species:S:1:pos:R:3 pbc="T T T"
Ba 4.4270 2.0167 4.6279
Ag 2.2303 1.0160 2.1894
Ru 6.6908 3.0480 6.5681
Ba 1.4810 0.6747 8.5248
```

Computed properties:
As for the total energy: -3.522 eV per atom. For the total magnetic moment, the calculation gives 0.7 μB/cell. The value obtained for the energy above the most stable polymorph in this dataset is 218 meV/atom. The calculation puts the formation enthalpy at 0 K at 0.47 eV per atom. Its space group is C2/m (12).

No. 3
A plane-wave DFT calculation with PBE was carried out for crystalline Mg2AlB2Os5 at its relaxed geometry.

Structure (extended XYZ):
```
20
Lattice="2.9561 0.0000 0.0000 0.0000 9.4412 0.0000 0.0000 0.0000 9.4412" Properties=species:S:1:pos:R:3 pbc="T T T"
Mg 0.0000 7.7562 6.4057
B 0.0000 1.1926 5.9132
Os 1.4780 6.7468 4.1015
Os 1.4780 2.6945 5.3397
B 0.0000 5.9132 8.2486
Mg 0.0000 6.4057 1.6851
Al 0.0000 4.7206 4.7206
Os 1.4780 5.3397 6.7468
Os 1.4780 7.4151 8.8222
Os 1.4780 8.8222 2.0261
Os 1.4780 2.0261 0.6191
Os 1.4780 0.6191 7.4151
Mg 0.0000 1.6851 3.0356
B 0.0000 8.2486 3.5280
Os 1.4780 4.7206 0.0000
Al 0.0000 0.0000 0.0000
B 0.0000 3.5280 1.1926
Mg 0.0000 3.0356 7.7562
Os 1.4780 0.0000 4.7206
Os 1.4780 4.1015 2.6945
```

Computed properties:
As for the total energy: -7.696 eV per atom. For the total magnetic moment, the calculation gives 0.0 μB/cell. The calculation puts the formation enthalpy at 0 K at -0.05 eV per atom. Its space group is P4/mbm (127).

No. 4
A plane-wave DFT calculation with PBE was carried out for crystalline H2Pd2I at its relaxed geometry.

Structure (extended XYZ):
```
5
Lattice="-0.9171 -2.8311 1.6492 3.1046 -0.2034 1.3772 -0.7504 1.7860 6.1584" Properties=species:S:1:pos:R:3 pbc="T T T"
I 0.0000 0.0000 0.0000
Pd 0.4446 -0.3545 3.1483
H 1.7239 0.0327 4.5244
H -0.2869 -1.2812 4.6604
Pd 0.9924 -0.8940 6.0365
```

Computed properties:
As for the total energy: -3.589 eV per atom. For the total magnetic moment, the calculation gives 0.0 μB/cell. Its space group is I4/mmm (139).

No. 5
A plane-wave DFT calculation with PBE was carried out for crystalline LaU2MoC4 at its relaxed geometry.

Structure (extended XYZ):
```
16
Lattice="3.6880 0.0000 0.0000 -1.8440 5.8977 0.0000 0.0000 0.0000 11.7183" Properties=species:S:1:pos:R:3 pbc="T T T"
C 0.0000 5.1221 8.7887
C 0.0000 2.9623 1.3308
C 0.0000 0.0000 5.8592
La 1.8440 4.5061 2.9296
C 0.0000 2.9623 4.5284
C 1.8440 2.9354 7.1899
C 0.0000 0.0000 0.0000
U 0.0000 4.4043 6.3670
C 1.8440 2.9354 10.3876
Mo 0.0000 1.6932 2.9296
U 1.8440 1.4934 0.5078
U 0.0000 4.4043 11.2105
C 1.8440 0.7756 2.9296
U 1.8440 1.4934 5.3513
Mo 1.8440 4.2045 8.7887
La 0.0000 1.3916 8.7887
```

Computed properties:
As for the total energy: -9.408 eV per atom. For the total magnetic moment, the calculation gives 3.5 μB/cell. The calculation puts the formation enthalpy at 0 K at 0.00 eV per atom. Its space group is Cmcm (63).

No. 6
A plane-wave DFT calculation with PBE was carried out for crystalline Cs4IrO5 at its relaxed geometry.

Structure (extended XYZ):
```
10
Lattice="6.0481 0.0000 0.0000 3.0240 6.3549 0.0000 3.0240 0.0000 6.3549" Properties=species:S:1:pos:R:3 pbc="T T T"
O 9.1199 1.7209 5.4872
Cs 6.1285 2.5825 5.1709
O 3.0718 4.6340 0.8678
Cs 6.1285 3.7724 1.1840
O 6.0958 0.8678 1.7209
Ir 0.3473 0.0000 0.0000
Cs 9.1525 5.1709 3.7724
Cs 3.1045 1.1840 2.5825
O 6.0958 5.4872 4.6340
O 2.2263 0.0000 0.0000
```

Computed properties:
As for the total energy: -4.829 eV per atom. For the total magnetic moment, the calculation gives 3.0 μB/cell. For the uncorrected formation energy, the calculation gives -1.123 eV/atom. Its space group is I4 (79).